HfHg2AsH | PBE-GGA | relaxed

Lattice parameters (Å, degrees): 4.0101 5.7795 4.0101 90.00 90.00 90.00
Fractional positions:
H 0.0000 0.0000 0.0000
As 0.0000 0.5000 0.0000
Hf 0.5000 0.5000 0.5000
Hg 0.0000 0.0000 0.5000
Hg 0.5000 0.0000 0.0000

Summary:
Space-group type   P4/mmm
Volume   18.588 Å³/atom
DFT total energy   -3.41 eV per atom
Crystal system   tetragonal

---

Pb5Br | PBE-GGA | relaxed

Lattice parameters (Å, degrees): 6.1063 6.1063 5.7458 90.00 90.00 120.00
Fractional positions:
Pb 0.6558 0.0000 0.0000
Pb 0.3442 0.3442 0.0000
Pb 0.0000 0.6558 0.0000
Pb 0.6667 0.3333 0.5000
Pb 0.3333 0.6667 0.5000
Br 0.0000 0.0000 0.5000

Summary:
Space-group type   P-62m
Formation energy from raw total energies   -0.5 eV per formula unit
Energy above the lowest structure with this stoichiometry   32 meV per atom
Volume   30.924 Å³/atom
Crystal system   hexagonal

---

YAg | PBE-GGA | relaxed

Lattice parameters (Å, degrees): 3.9326 3.9326 4.0064 90.00 90.00 120.00
Fractional positions:
Ag 0.0000 0.0000 0.0000
Y 0.3333 0.6667 0.5000

Summary:
Space-group type   P-6m2
Formation enthalpy at 0 K   -0.121 eV per atom
Volume   26.830 Å³/atom
Crystal system   hexagonal

---

K7Mg | PBE-GGA | relaxed

Lattice parameters (Å, degrees): 8.9434 8.9434 8.9434 60.00 60.00 60.00
Fractional positions:
K 0.5000 0.0000 0.0000
K 0.0000 0.0000 0.5000
K 0.5000 0.0000 0.5000
K 0.0000 0.5000 0.0000
K 0.5000 0.5000 0.0000
K 0.0000 0.5000 0.5000
K 0.5000 0.5000 0.5000
Mg 0.0000 0.0000 0.0000

Summary:
Space-group type   Fm-3m
Formation enthalpy at 0 K   0.093 eV per atom
Volume   63.228 Å³/atom
Crystal system   cubic

---

Ac2TbPd2 | PBE-GGA | relaxed

Lattice parameters (Å, degrees): 4.2750 8.2045 8.2045 90.00 90.00 90.00
Fractional positions:
Ac 0.5000 0.1695 0.6695
Ac 0.5000 0.6695 0.8305
Ac 0.5000 0.8305 0.3305
Ac 0.5000 0.3305 0.1695
Tb 0.0000 0.0000 0.0000
Tb 0.0000 0.5000 0.5000
Pd 0.0000 0.3677 0.8677
Pd 0.0000 0.8677 0.6323
Pd 0.0000 0.6323 0.1323
Pd 0.0000 0.1323 0.3677

Summary:
Space-group type   P4/mbm
Formation enthalpy at 0 K   -0.660 eV per atom
Volume   28.777 Å³/atom
Crystal system   tetragonal

---

Nd4TePSe2 | PBE-GGA | relaxed

Lattice parameters (Å, degrees): 4.2500 7.3568 7.5700 70.98 90.00 90.00
Fractional positions:
Nd 0.0000 0.7549 0.7211
Nd 0.0000 0.2451 0.2789
Nd 0.5000 0.7388 0.2754
Nd 0.5000 0.2612 0.7246
Te 0.5000 0.5000 0.0000
P 0.0000 0.5000 0.5000
Se 0.0000 0.0000 0.0000
Se 0.5000 0.0000 0.5000

Summary:
Space-group type   P2/m
Formation energy from raw total energies   -13.6 eV per formula unit
Volume   27.970 Å³/atom
Crystal system   monoclinic

---

FeTcB2 | PBE-GGA | relaxed

Lattice parameters (Å, degrees): 3.2813 3.2813 4.3819 68.01 68.01 60.00
Fractional positions:
B 0.2774 0.2774 0.1677
B 0.7226 0.7226 0.8323
Tc 0.5000 0.5000 0.5000
Fe 0.0000 0.0000 0.0000

Summary:
Space-group type   R-3m
Formation enthalpy at 0 K   -0.043 eV per atom
Energy above the lowest structure with this stoichiometry   0 meV per atom
Volume   9.210 Å³/atom
Crystal system   trigonal

---

Ba6NaN | PBE-GGA | relaxed

Lattice parameters (Å, degrees): 7.9185 7.9206 8.8166 63.38 63.51 60.12
Fractional positions:
Ba 0.0334 0.3772 0.7831
Ba 0.8053 0.0323 0.7836
Ba 0.6232 0.1945 0.2159
Ba 0.1947 0.9677 0.2164
Ba 0.9666 0.6228 0.2169
Ba 0.3768 0.8055 0.7841
Na 0.5000 0.5000 0.5000
N 0.0000 0.0000 0.0000

Summary:
Space-group type   P-1
Formation energy from raw total energies   -0.4 eV per formula unit
Volume   51.318 Å³/atom
Crystal system   triclinic

---

LaCoTe2 | PBE-GGA | relaxed

Lattice parameters (Å, degrees): 3.7939 3.7939 7.2029 90.00 90.00 90.00
Each line ends with the local moment (μB).
Fractional positions:
Co 0.5000 0.5000 0.2500  2.04
La 0.5000 0.5000 0.7500  0.05
Te 0.0000 0.0000 0.0224  0.09
Te 0.0000 0.0000 0.4776  0.09

Summary:
Space-group type   P4/mmm
Formation energy from raw total energies   -1.1 eV per formula unit
Volume   25.919 Å³/atom
Crystal system   tetragonal

---

PmNdEr2Sc | PBE-GGA | relaxed

Lattice parameters (Å, degrees): 5.0015 7.8522 7.8801 89.88 90.00 90.00
Fractional positions:
Pm 0.2500 0.9456 0.8467
Pm 0.7500 0.0544 0.1533
Nd 0.2500 0.7442 0.2590
Nd 0.7500 0.2558 0.7410
Er 0.7500 0.8396 0.5525
Er 0.7500 0.6462 0.9527
Er 0.2500 0.1604 0.4475
Er 0.2500 0.3538 0.0473
Sc 0.2500 0.5475 0.6496
Sc 0.7500 0.4525 0.3504

Summary:
Space-group type   P2_1/m
Formation enthalpy at 0 K   0.045 eV per atom
Volume   30.947 Å³/atom
Crystal system   monoclinic

---

HgIrRu2 | PBE-GGA | relaxed

Lattice parameters (Å, degrees): 4.4945 4.4945 4.4945 60.00 60.00 60.00
Each line ends with the local moment (μB).
Fractional positions:
Hg 0.5000 0.5000 0.5000  0.01
Ir 0.7500 0.7500 0.7500  0.36
Ru 0.0000 0.0000 0.0000  1.45
Ru 0.2500 0.2500 0.2500  0.60

Summary:
Space-group type   F-43m
Formation enthalpy at 0 K   0.710 eV per atom
Volume   16.049 Å³/atom
Crystal system   cubic

---

Sc7Tl3Cd2 | PBE-GGA | relaxed

Lattice parameters (Å, degrees): 5.5405 5.5607 10.9549 104.70 84.81 110.89
Fractional positions:
Sc 0.0000 0.4286 0.8572
Sc 0.0000 0.7114 0.4228
Sc 0.0000 0.0000 0.0000
Sc 0.0000 0.5714 0.1428
Sc 0.5000 0.0844 0.1687
Sc 0.5000 0.9156 0.8313
Sc 0.0000 0.2886 0.5772
Tl 0.5000 0.5000 0.0000
Tl 0.5000 0.6574 0.3148
Tl 0.5000 0.3426 0.6852
Cd 0.0000 0.8536 0.7073
Cd 0.0000 0.1464 0.2927

Summary:
Space-group type   C2/m
Formation enthalpy at 0 K   -0.019 eV per atom
Volume   25.417 Å³/atom
Crystal system   monoclinic

---

Zn2CuTe | PBE-GGA | relaxed

Lattice parameters (Å, degrees): 5.5741 5.5741 5.5741 139.03 139.01 59.34
Fractional positions:
Cu 0.2500 0.7500 0.5000
Te 0.7500 0.2500 0.5000
Zn 0.0005 0.0005 0.0000
Zn 0.4995 0.4995 0.0000

Summary:
Space-group type   I4/mmm
Formation energy from raw total energies   0.9 eV per formula unit
Energy above the lowest structure with this stoichiometry   193 meV per atom
Volume   18.436 Å³/atom
Crystal system   tetragonal

---

HfTiNbRe | PBE-GGA | relaxed

Lattice parameters (Å, degrees): 4.6253 4.6253 4.6253 60.00 60.00 60.00
Fractional positions:
Re 0.7500 0.7500 0.7500
Nb 0.5000 0.5000 0.5000
Hf 0.0000 0.0000 0.0000
Ti 0.2500 0.2500 0.2500

Summary:
Space-group type   F-43m
Formation enthalpy at 0 K   -0.150 eV per atom
Volume   17.492 Å³/atom
Crystal system   cubic

---

SiCl | PBE-GGA | relaxed

Lattice parameters (Å, degrees): 9.1380 9.1380 5.5777 69.31 69.31 22.38
Fractional positions:
Si 0.3822 0.3822 0.8901
Si 0.8394 0.8394 0.6766
Si 0.3960 0.3960 0.3179
Cl 0.9970 0.9970 0.1572
Cl 0.7149 0.7149 0.8055
Cl 0.5039 0.5039 0.6526

Summary:
Space-group type   Cm
Formation energy from raw total energies   -0.7 eV per formula unit
Energy above the lowest structure with this stoichiometry   321 meV per atom
Volume   27.577 Å³/atom
Crystal system   monoclinic

---

Y4TlAg3 | PBE-GGA | relaxed

Lattice parameters (Å, degrees): 3.7412 4.8533 11.3711 90.00 90.00 90.00
Fractional positions:
Y 0.5000 0.5000 0.3632
Y 0.0000 0.5000 0.8447
Y 0.0000 0.0000 0.1523
Y 0.5000 0.0000 0.6402
Tl 0.5000 0.5000 0.0827
Ag 0.0000 0.5000 0.5784
Ag 0.0000 0.0000 0.4233
Ag 0.5000 0.0000 0.9152

Summary:
Space-group type   Pmm2
Formation enthalpy at 0 K   -0.304 eV per atom
Energy above the lowest structure with this stoichiometry   40 meV per atom
Volume   25.808 Å³/atom
Crystal system   orthorhombic

---

CsInAuBr2 | PBE-GGA | relaxed

Lattice parameters (Å, degrees): 5.9428 5.9428 5.3260 90.00 90.00 90.00
Fractional positions:
Cs 0.5000 0.5000 0.5000
Au 0.0000 0.0000 0.5000
Br 0.0000 0.5000 0.0000
Br 0.5000 0.0000 0.0000
In 0.0000 0.0000 0.0000

Summary:
Space-group type   P4/mmm
Formation energy from raw total energies   -4.1 eV per formula unit
Volume   37.620 Å³/atom
Crystal system   tetragonal

---

Tl2ZnSe | PBE-GGA | relaxed

Lattice parameters (Å, degrees): 4.5052 4.5052 7.1254 71.43 71.43 60.07
Fractional positions:
Se 0.7500 0.7500 0.7500
Tl 0.0008 0.0008 0.9968
Tl 0.4992 0.4992 0.5032
Zn 0.2500 0.2500 0.2500

Summary:
Space-group type   C2/m
Formation energy from raw total energies   -0.4 eV per formula unit
Energy above the lowest structure with this stoichiometry   88 meV per atom
Volume   29.137 Å³/atom
Crystal system   monoclinic

---

TaPd5Pt8 | PBE-GGA | relaxed

Lattice parameters (Å, degrees): 6.7236 6.7236 6.7236 108.33 111.78 108.33
Fractional positions:
Ta 0.2500 0.5000 0.7500
Pd 0.9532 0.4227 0.1602
Pd 0.8398 0.7930 0.2625
Pd 0.7375 0.5773 0.5305
Pd 0.5000 0.0000 0.5000
Pd 0.4695 0.2070 0.0468
Pt 0.1092 0.7805 0.0033
Pt 0.9967 0.1059 0.7773
Pt 0.8165 0.1908 0.3892
Pt 0.6108 0.4273 0.8016
Pt 0.3743 0.5727 0.1835
Pt 0.6713 0.8941 0.8908
Pt 0.2227 0.2195 0.3287
Pt 0.1984 0.8092 0.6257

Summary:
Space-group type   I-4
Formation enthalpy at 0 K   -0.045 eV per atom
Volume   16.693 Å³/atom
Crystal system   tetragonal

---

Sm4TmN5 | PBE-GGA | relaxed

Lattice parameters (Å, degrees): 5.0493 6.1491 6.1491 80.30 65.76 65.76
Fractional positions:
Sm 0.4068 0.3993 0.8019
Sm 0.8062 0.8019 0.6007
Sm 0.2088 0.1981 0.3993
Sm 0.6081 0.6007 0.1981
Tm 0.0123 0.0000 0.0000
N 0.8984 0.3905 0.8048
N 0.2890 0.8048 0.6095
N 0.7032 0.1952 0.3905
N 0.0937 0.6095 0.1952
N 0.4839 0.0000 0.0000

Summary:
Space-group type   I4
Formation energy from raw total energies   -15.3 eV per formula unit
Volume   15.873 Å³/atom
Crystal system   tetragonal

---

BaCa2VN | PBE-GGA | relaxed

Lattice parameters (Å, degrees): 6.4591 3.8101 6.4591 90.00 90.00 90.00
Each line ends with the local moment (μB).
Fractional positions:
Ca 0.0000 0.0000 0.5000  0.00
Ca 0.5000 0.0000 0.0000  -0.01
N 0.0000 0.5000 0.0000  -0.20
Ba 0.5000 0.5000 0.5000  -0.14
V 0.0000 0.0000 0.0000  1.79

Summary:
Space-group type   P4/mmm
Formation energy from raw total energies   2.1 eV per formula unit
Volume   31.792 Å³/atom
Crystal system   tetragonal

---

Be2Ni2Hg | PBE-GGA | relaxed

Lattice parameters (Å, degrees): 6.4524 6.4524 2.7537 90.00 90.00 90.00
Fractional positions:
Ni 0.1557 0.6557 0.5000
Ni 0.6557 0.8443 0.5000
Ni 0.8443 0.3443 0.5000
Ni 0.3443 0.1557 0.5000
Hg 0.0000 0.0000 0.0000
Hg 0.5000 0.5000 0.0000
Be 0.3761 0.8761 0.0000
Be 0.8761 0.6239 0.0000
Be 0.6239 0.1239 0.0000
Be 0.1239 0.3761 0.0000

Summary:
Space-group type   P4/mbm
Formation enthalpy at 0 K   -0.077 eV per atom
Energy above the lowest structure with this stoichiometry   0 meV per atom
Volume   11.465 Å³/atom
Crystal system   tetragonal

---

UH2Br6 | PBE-GGA | relaxed

Lattice parameters (Å, degrees): 7.0308 10.0674 10.0674 80.95 88.18 88.18
Each line ends with the local moment (μB).
Fractional positions:
U 0.2500 0.0942 0.9058  2.10
U 0.7500 0.9058 0.0942  2.10
H 0.0187 0.6085 0.6530  0.00
H 0.4813 0.3470 0.3915  0.00
H 0.9813 0.3915 0.3470  0.00
H 0.5187 0.6530 0.6085  0.00
Br 0.3492 0.7206 0.5506  0.00
Br 0.1508 0.4494 0.2794  0.00
Br 0.6508 0.2794 0.4494  0.00
Br 0.8492 0.5506 0.7206  0.00
Br 0.8807 0.8802 0.3423  -0.05
Br 0.6193 0.6577 0.1198  -0.05
Br 0.1193 0.1198 0.6577  -0.05
Br 0.3807 0.3423 0.8802  -0.05
Br 0.0922 0.8287 0.9671  -0.04
Br 0.4078 0.0329 0.1713  -0.04
Br 0.9078 0.1713 0.0329  -0.04
Br 0.5922 0.9671 0.8287  -0.04

Summary:
Space-group type   C2/c
Volume   39.061 Å³/atom
DFT total energy   -3.93 eV per atom
Crystal system   monoclinic

---

Li2AcHg6 | PBE-GGA | relaxed

Lattice parameters (Å, degrees): 8.9229 8.9229 8.9229 60.00 60.00 60.00
Fractional positions:
Li 0.1250 0.1250 0.1250
Li 0.1250 0.6250 0.1250
Li 0.1250 0.1250 0.6250
Li 0.6250 0.1250 0.1250
Ac 0.5000 0.5000 0.5000
Ac 0.7500 0.7500 0.7500
Hg 0.2370 0.2370 0.7630
Hg 0.7630 0.7630 0.2370
Hg 0.2370 0.7630 0.2370
Hg 0.2370 0.7630 0.7630
Hg 0.4870 0.4870 0.0130
Hg 0.4870 0.0130 0.0130
Hg 0.7630 0.2370 0.7630
Hg 0.0130 0.0130 0.4870
Hg 0.4870 0.0130 0.4870
Hg 0.0130 0.4870 0.4870
Hg 0.7630 0.2370 0.2370
Hg 0.0130 0.4870 0.0130

Summary:
Space-group type   Fd-3m
Formation enthalpy at 0 K   -0.057 eV per atom
Volume   27.908 Å³/atom
Crystal system   cubic

---

LiPrAg | PBE-GGA | relaxed

Lattice parameters (Å, degrees): 4.2851 8.2688 8.2688 90.00 90.00 90.00
Fractional positions:
Li 0.5000 0.9157 0.1523
Li 0.5000 0.0843 0.8477
Li 0.0000 0.1523 0.0843
Li 0.0000 0.8477 0.9157
Pr 0.5000 0.7634 0.5764
Pr 0.0000 0.4236 0.7634
Pr 0.0000 0.5764 0.2366
Pr 0.5000 0.2366 0.4236
Ag 0.5000 0.3384 0.0547
Ag 0.0000 0.9453 0.3384
Ag 0.0000 0.0547 0.6616
Ag 0.5000 0.6616 0.9453

Summary:
Space-group type   P4_2/m
Formation enthalpy at 0 K   -0.132 eV per atom
Energy above the lowest structure with this stoichiometry   13 meV per atom
Volume   24.415 Å³/atom
Crystal system   tetragonal